BaSnSeBr2 PBE-GGA optimized geometry; formation energy without anion corrections = -1.091 eV/atom; symmetry = No. 123; M_tot = 0.00 μB per formula unit
1.0
5.6474 0.0000 0.0000
0.0000 5.6474 0.0000
0.0000 0.0000 5.7597
Ba Sn Se Br
1 1 1 2
Cartesian
0.0000 0.0000 0.0000
2.8237 2.8237 2.8799
2.8237 2.8237 0.0000
0.0000 2.8237 2.8799
2.8237 0.0000 2.8799

TcHgAs PBE-GGA optimized geometry; ΔH_f (0 K) = 0.18 eV per atom; symmetry = No. 107; M_tot = 0.00 μB per formula unit
1.0
3.2310 0.0000 0.0000
0.0000 3.2310 0.0000
0.0000 0.0000 10.3865
Tc Hg As
2 2 2
Cartesian
0.0000 0.0000 0.0000
1.6155 1.6155 5.1932
0.0000 0.0000 7.1922
1.6155 1.6155 1.9989
0.0000 0.0000 4.1270
1.6155 1.6155 9.3202

Tb6Pt2S PBE-GGA optimized geometry; formation energy without anion corrections = -1.030 eV/atom; symmetry = No. 14; M_tot = 0.00 μB per formula unit
1.0
6.5475 0.0000 0.0000
0.0000 7.2357 0.0000
-6.0225 0.0000 10.0869
Tb Pt S
12 4 2
Cartesian
-1.9756 1.3553 4.3510
-4.9869 2.2626 9.3944
-0.9241 4.8487 4.3203
-3.9354 6.0049 9.3637
1.1152 0.2818 2.4748
-1.8960 3.3361 7.5183
2.4211 3.8997 2.5686
-0.5901 6.9539 7.6121
4.4604 1.2308 0.7232
1.4492 2.3870 5.7666
5.5120 4.9732 0.6925
2.5007 5.8805 5.7359
-3.2655 0.8299 7.4209
-0.2543 2.7879 2.3775
0.7793 4.4478 7.7094
3.7906 6.4058 2.6659
0.2625 0.0000 5.0434
3.2738 3.6179 0.0000

ZrIn2Co PBE-GGA optimized geometry; ΔH_f (0 K) = 0.03 eV per atom; symmetry = No. 71; M_tot = 0.69 μB per formula unit
1.0
3.1703 0.0000 0.0000
0.0000 5.0297 0.0000
0.0000 0.0000 9.7536
Zr In Co
2 4 2
Cartesian
0.0000 0.0000 0.0000
1.5852 2.5149 4.8768
0.0000 2.5149 2.1346
0.0000 2.5149 7.6191
1.5852 0.0000 2.7423
1.5852 0.0000 7.0114
0.0000 0.0000 4.8768
1.5852 2.5149 0.0000